Material: GdHoAu6
Method: DFT, PBE
State: optimized geometry

Unit cell a=5.0440 b=6.1792 c=5.1384 alpha=90.00 beta=90.00 gamma=90.00
Fractional positions:
Gd  0.0000  0.0000  0.0000
Ho  0.5000  0.5000  0.6874
Au  0.0000  0.2594  0.5051
Au  0.0000  0.5000  0.0081
Au  0.0000  0.7406  0.5051
Au  0.5000  0.0000  0.6733
Au  0.5000  0.2468  0.1817
Au  0.5000  0.7532  0.1817

Electronic total energy ... -4.33 eV per atom
Energy relative to the elements ... -0.72 eV per atom
Theoretical density ... 15.594 Mg/m³
Total magnetic moment ... 0.00 μB/f.u.
Space group ... Pmm2, No. 25